(i)
This record from OQMD via LeMat-Bulk describes an optimized crystal structure of PdPbNO. The functional is GGA-PBE.

Cell: 4.7777 4.7777 4.7347 Å, 90.00 90.00 90.00°
Last column: nearest neighbours and their distance in Å.
Fractional positions:
N 0.0000 0.5000 0.4928  2 Pd 2.35-2.39, 4 Pb 2.39
N 0.5000 0.0000 0.5072  2 Pd 2.35-2.39, 4 Pb 2.39
O 0.0000 0.0000 0.0000  2 Pb 2.37, 4 Pd 2.39
O 0.5000 0.5000 0.0000  2 Pb 2.37, 4 Pd 2.39
Pb 0.0000 0.0000 0.5000  2 O 2.37, 4 N 2.39
Pb 0.5000 0.5000 0.5000  2 O 2.37, 4 N 2.39
Pd 0.5000 0.0000 0.0028  2 N 2.35-2.39, 4 O 2.39
Pd 0.0000 0.5000 0.9972  2 N 2.35-2.39, 4 O 2.39

(ii)
This record from OQMD via LeMat-Bulk describes an optimized crystal structure of PdPbNO. The functional is GGA-PBE.

Cell: 3.8968 5.3363 6.3359 Å, 90.00 90.00 90.00°
Last column: nearest neighbours and their distance in Å.
Fractional positions:
N 0.0000 0.8364 0.2993  2 Pd 1.96-2.01
N 0.0000 0.3364 0.7008  2 Pd 1.96-2.01
O 0.5000 0.4215 0.1759  2 Pb 2.24-2.26, 2 Pd 2.49
O 0.5000 0.9215 0.8241  2 Pb 2.24-2.26, 2 Pd 2.49
Pb 0.5000 0.0015 0.1736  2 O 2.24-2.26, 2 N 2.28
Pb 0.5000 0.5015 0.8264  2 O 2.24-2.26, 2 N 2.28
Pd 0.0000 0.4945 0.4132  2 N 1.96-2.01
Pd 0.0000 0.9946 0.5868  2 N 1.96-2.01

(iii)
This record from OQMD via LeMat-Bulk describes an optimized crystal structure of PdPbNO. The functional is GGA-PBE.

Cell: 3.9679 3.9679 8.5722 Å, 90.00 90.00 90.00°
Last column: nearest neighbours and their distance in Å.
Fractional positions:
N 0.7500 0.7500 0.4176  4 Pd 2.11
N 0.2500 0.2500 0.5824  4 Pd 2.11
O 0.7500 0.2500 0.0000  4 Pb 2.33
O 0.2500 0.7500 0.0000  4 Pb 2.33
Pb 0.2500 0.2500 0.1420  4 O 2.33
Pb 0.7500 0.7500 0.8580  4 O 2.33
Pd 0.7500 0.2500 0.5000  4 N 2.11
Pd 0.2500 0.7500 0.5000  4 N 2.11

(iv)
This record from OQMD via LeMat-Bulk describes an optimized crystal structure of PdPbNO. The functional is GGA-PBE.

Cell: 5.4715 8.4996 5.4637 Å, 90.00 90.00 90.00°
Last column: nearest neighbours and their distance in Å.
Fractional positions:
N 0.3463 0.3703 0.2062  3 Pd 1.97-2.09
N 0.8463 0.6297 0.2062  3 Pd 1.97-2.09
N 0.1537 0.3703 0.7062  3 Pd 1.97-2.09
N 0.6537 0.6297 0.7062  3 Pd 1.97-2.09
O 0.8878 0.0900 0.0424  3 Pb 2.25-2.27
O 0.3878 0.9100 0.0424  3 Pb 2.25-2.27
O 0.6122 0.0900 0.5424  3 Pb 2.25-2.27
O 0.1122 0.9100 0.5424  3 Pb 2.25-2.27
Pb 0.9965 0.1535 0.4313  3 O 2.25-2.27
Pb 0.4965 0.8465 0.4313  3 O 2.25-2.27
Pb 0.5035 0.1535 0.9313  3 O 2.25-2.27
Pb 0.0035 0.8465 0.9313  3 O 2.25-2.27
Pd 0.0626 0.4655 0.0224  3 N 1.97-2.09
Pd 0.5626 0.5345 0.0224  3 N 1.97-2.09
Pd 0.4374 0.4655 0.5224  3 N 1.97-2.09
Pd 0.9374 0.5345 0.5224  3 N 1.97-2.09

The structure with the least stability is (i).

(i)
This record from OQMD via LeMat-Bulk describes an optimized crystal structure of PmPbNO. The functional is GGA-PBE.

Cell: 4.3580 4.3580 7.8638 Å, 90.00 90.00 90.00°
Last column: nearest neighbours and their distance in Å.
Fractional positions:
N 0.7500 0.7500 0.3351  4 Pb 2.54
N 0.2500 0.2500 0.6649  4 Pb 2.54
O 0.7500 0.2500 0.0000  4 Pm 2.37
O 0.2500 0.7500 0.0000  4 Pm 2.37
Pb 0.7500 0.2500 0.5000  4 N 2.54
Pb 0.2500 0.7500 0.5000  4 N 2.54
Pm 0.2500 0.2500 0.1198  4 O 2.37
Pm 0.7500 0.7500 0.8802  4 O 2.37

(ii)
This record from OQMD via LeMat-Bulk describes an optimized crystal structure of PmPbNO. The functional is GGA-PBE.

Cell: 3.9510 6.2627 6.5289 Å, 90.00 90.00 90.00°
Last column: nearest neighbours and their distance in Å.
Fractional positions:
N 0.0000 0.6179 0.0929  1 Pb 2.22, 2 Pm 2.35
N 0.0000 0.3821 0.5929  1 Pb 2.22, 2 Pm 2.35
O 0.5000 0.1132 0.1732  2 Pm 2.23-2.26
O 0.5000 0.8868 0.6732  2 Pm 2.23-2.26
Pb 0.0000 0.7148 0.4762  1 N 2.22
Pb 0.0000 0.2852 0.9762  1 N 2.22
Pm 0.5000 0.7994 0.0037  2 O 2.23-2.26, 2 N 2.35
Pm 0.5000 0.2006 0.5037  2 O 2.23-2.26, 2 N 2.35

The structure with the least stability is (i).

(i)
This record from OQMD via LeMat-Bulk describes an optimized crystal structure of PmPbNO. The functional is GGA-PBE.

Cell: 6.7930 9.3350 5.1409 Å, 90.00 90.00 90.00°
Last column: nearest neighbours and their distance in Å.
Fractional positions:
N 0.9189 0.1144 0.0475  4 Pm 2.37-2.59, 1 Pb 2.41
N 0.4189 0.8856 0.0475  4 Pm 2.37-2.59, 1 Pb 2.41
N 0.5811 0.1144 0.5475  4 Pm 2.37-2.59, 1 Pb 2.41
N 0.0811 0.8856 0.5475  4 Pm 2.37-2.59, 1 Pb 2.41
O 0.3849 0.3129 0.0784  1 Pm 2.23, 2 Pb 2.28-2.40
O 0.8849 0.6871 0.0784  1 Pm 2.23, 2 Pb 2.28-2.40
O 0.1151 0.3129 0.5784  1 Pm 2.23, 2 Pb 2.28-2.40
O 0.6151 0.6871 0.5784  1 Pm 2.23, 2 Pb 2.28-2.40
Pb 0.0560 0.3521 0.0332  2 O 2.28-2.40, 1 N 2.41
Pb 0.5560 0.6479 0.0332  2 O 2.28-2.40, 1 N 2.41
Pb 0.4440 0.3521 0.5332  2 O 2.28-2.40, 1 N 2.41
Pb 0.9440 0.6479 0.5332  2 O 2.28-2.40, 1 N 2.41
Pm 0.5672 0.1152 0.0433  1 O 2.23, 2 N 2.37-2.39
Pm 0.0672 0.8848 0.0433  1 O 2.23, 2 N 2.37-2.39
Pm 0.9328 0.1152 0.5433  1 O 2.23, 2 N 2.37-2.39
Pm 0.4328 0.8848 0.5433  1 O 2.23, 2 N 2.37-2.39

(ii)
This record from OQMD via LeMat-Bulk describes an optimized crystal structure of PmPbNO. The functional is GGA-PBE.

Cell: 5.8833 8.5585 5.8185 Å, 90.00 90.00 90.00°
Last column: nearest neighbours and their distance in Å.
Fractional positions:
N 0.4097 0.1151 0.0638  3 Pb 2.25-2.37, 1 Pm 2.36
N 0.9097 0.8849 0.0638  3 Pb 2.25-2.37, 1 Pm 2.36
N 0.0903 0.1151 0.5638  3 Pb 2.25-2.37, 1 Pm 2.36
N 0.5903 0.8849 0.5638  3 Pb 2.25-2.37, 1 Pm 2.36
O 0.2468 0.4956 0.2102  4 Pm 2.31-2.36
O 0.7468 0.5044 0.2102  4 Pm 2.31-2.36
O 0.2532 0.4956 0.7102  4 Pm 2.31-2.36
O 0.7532 0.5044 0.7102  4 Pm 2.31-2.36
Pb 0.4785 0.1273 0.4651  3 N 2.25-2.37
Pb 0.9785 0.8727 0.4651  3 N 2.25-2.37
Pb 0.0215 0.1273 0.9651  3 N 2.25-2.37
Pb 0.5215 0.8727 0.9651  3 N 2.25-2.37
Pm 0.9959 0.3747 0.4633  4 O 2.31-2.36, 1 N 2.36
Pm 0.4959 0.6253 0.4633  4 O 2.31-2.36, 1 N 2.36
Pm 0.5041 0.3747 0.9633  4 O 2.31-2.36, 1 N 2.36
Pm 0.0041 0.6253 0.9633  4 O 2.31-2.36, 1 N 2.36

The structure with the least stability is (i).

(i)
This record from OQMD via LeMat-Bulk describes an optimized crystal structure of PrPbNO. The functional is GGA-PBE.

Cell: 3.7471 6.3244 7.2874 Å, 90.00 90.00 90.00°
Last column: nearest neighbours and their distance in Å.
Fractional positions:
N 0.0000 0.8936 0.3233  2 Pb 2.36, 2 Pr 2.38-2.42
N 0.0000 0.3936 0.6767  2 Pb 2.36, 2 Pr 2.38-2.42
O 0.5000 0.3406 0.2883  2 Pr 2.25, 1 Pb 2.33
O 0.5000 0.8406 0.7117  2 Pr 2.25, 1 Pb 2.33
Pb 0.5000 0.0062 0.1536  1 O 2.33, 2 N 2.36
Pb 0.5000 0.5062 0.8464  1 O 2.33, 2 N 2.36
Pr 0.0000 0.5136 0.3677  2 O 2.25, 2 N 2.38-2.42
Pr 0.0000 0.0136 0.6323  2 O 2.25, 2 N 2.38-2.42

(ii)
This record from OQMD via LeMat-Bulk describes an optimized crystal structure of PrPbNO. The functional is GGA-PBE.

Cell: 6.0105 8.5916 5.9100 Å, 90.00 90.00 90.00°
Last column: nearest neighbours and their distance in Å.
Fractional positions:
N 0.4059 0.1115 0.0719  3 Pb 2.25-2.37, 1 Pr 2.41
N 0.9059 0.8885 0.0719  3 Pb 2.25-2.37, 1 Pr 2.41
N 0.0941 0.1115 0.5719  3 Pb 2.25-2.37, 1 Pr 2.41
N 0.5941 0.8885 0.5719  3 Pb 2.25-2.37, 1 Pr 2.41
O 0.2463 0.4969 0.2051  4 Pr 2.35-2.41
O 0.7463 0.5031 0.2051  4 Pr 2.35-2.41
O 0.2537 0.4969 0.7051  4 Pr 2.35-2.41
O 0.7537 0.5031 0.7051  4 Pr 2.35-2.41
Pb 0.4727 0.1252 0.4660  3 N 2.25-2.37
Pb 0.9727 0.8748 0.4660  3 N 2.25-2.37
Pb 0.0273 0.1252 0.9660  3 N 2.25-2.37
Pb 0.5273 0.8748 0.9660  3 N 2.25-2.37
Pr 0.9975 0.3726 0.4594  4 O 2.35-2.41, 1 N 2.41
Pr 0.4975 0.6274 0.4594  4 O 2.35-2.41, 1 N 2.41
Pr 0.5025 0.3726 0.9594  4 O 2.35-2.41, 1 N 2.41
Pr 0.0025 0.6274 0.9594  4 O 2.35-2.41, 1 N 2.41

The structure with the least stability is (i).